No. 1
A geometry-optimized Mn4N structure. Source: Alexandria, functional PBE.

Calculated values
E (eV per atom): -9.16

a = 3.7502 Å, b = 3.7502 Å, c = 3.7502 Å
α = 90.00°, β = 90.00°, γ = 90.00°
Last column: nearest neighbours and their distance in Å.
Element x y z (fractional)
1 N 0.5000 0.5000 0.5000  6 Mn 1.88
2 Mn 0.5000 0.0000 0.5000  2 N 1.88
3 Mn 0.0000 0.0000 0.0000  12 Mn 2.65
4 Mn 0.5000 0.5000 0.0000  2 N 1.88
5 Mn 0.0000 0.5000 0.5000  2 N 1.88



No. 2
A geometry-optimized Ga3NiRu structure. Source: Alexandria, functional PBE.

Calculated values
Energy above the most stable polymorph in this dataset (eV per atom): 0.0218
E (eV per atom): -4.35

a = 4.5955 Å, b = 4.5955 Å, c = 4.5955 Å
α = 90.00°, β = 90.00°, γ = 90.00°
Last column: nearest neighbours and their distance in Å.
Element x y z (fractional)
1 Ru 0.0000 0.0000 0.0000  6 Ga 2.30
2 Ga 0.0000 0.5000 0.0000  2 Ru 2.30
3 Ga 0.0000 0.0000 0.5000  2 Ru 2.30
4 Ga 0.5000 0.0000 0.0000  2 Ru 2.30
5 Ni 0.5000 0.5000 0.5000  12 Ga 3.25



No. 3
A geometry-optimized Ba4CdI2Br structure. Source: Alexandria, functional PBE.

Calculated values
E (eV per atom): -2.79

a = 4.7950 Å, b = 8.9806 Å, c = 8.5984 Å
α = 72.25°, β = 90.00°, γ = 90.00°
Last column: nearest neighbours and their distance in Å.
Element x y z (fractional)
1 Br 0.0000 0.5000 0.5000  6 Ba 3.43-3.48
2 I 0.0000 0.0000 0.0000  6 Ba 3.63-3.64
3 I 0.5000 0.0000 0.5000  6 Ba 3.67-3.68
4 Ba 0.0000 0.7282 0.7626  2 Cd 3.40, 1 Br 3.48, 3 I 3.63-3.67
5 Ba 0.5000 0.2711 0.7454  1 Cd 3.43, 2 Br 3.43, 3 I 3.64-3.68
6 Ba 0.0000 0.2718 0.2374  2 Cd 3.40, 1 Br 3.48, 3 I 3.63-3.67
7 Ba 0.5000 0.7289 0.2546  1 Cd 3.43, 2 Br 3.43, 3 I 3.64-3.68
8 Cd 0.5000 0.5000 0.0000  6 Ba 3.40-3.43



Please write out number 3 again, unchanged.
A geometry-optimized Ba4CdI2Br structure. Source: Alexandria, functional PBE.

Calculated values
E (eV per atom): -2.79

a = 4.7950 Å, b = 8.9806 Å, c = 8.5984 Å
α = 72.25°, β = 90.00°, γ = 90.00°
Last column: nearest neighbours and their distance in Å.
Element x y z (fractional)
1 Br 0.0000 0.5000 0.5000  6 Ba 3.43-3.48
2 I 0.0000 0.0000 0.0000  6 Ba 3.63-3.64
3 I 0.5000 0.0000 0.5000  6 Ba 3.67-3.68
4 Ba 0.0000 0.7282 0.7626  2 Cd 3.40, 1 Br 3.48, 3 I 3.63-3.67
5 Ba 0.5000 0.2711 0.7454  1 Cd 3.43, 2 Br 3.43, 3 I 3.64-3.68
6 Ba 0.0000 0.2718 0.2374  2 Cd 3.40, 1 Br 3.48, 3 I 3.63-3.67
7 Ba 0.5000 0.7289 0.2546  1 Cd 3.43, 2 Br 3.43, 3 I 3.64-3.68
8 Cd 0.5000 0.5000 0.0000  6 Ba 3.40-3.43



Question: Which value of E does entry 2 give?
Answer: -4.35 eV per atom



Question: What is the E in the second record?
Answer: -4.35 eV per atom



Question: Which of these has the highest E?
Answer: Ba4CdI2Br